(1)
VASP calculation (PBE-GGA) on a relaxed structure of Sm3Pd2Au3. Values from VASP.

```
&SYSTEM
  ibrav = 0, nat = 8, ntyp = 3
/
ATOMIC_SPECIES
Sm 150.36 Sm.upf
Pd 106.42 Pd.upf
Au 196.97 Au.upf
CELL_PARAMETERS angstrom
-2.115 1.160 -2.938
0.345 -6.811 -2.937
-5.508 1.760 4.659
ATOMIC_POSITIONS crystal
Sm 0.500 0.387 0.387
Sm 0.500 0.613 0.000
Sm 0.500 0.000 0.613
Pd 0.000 0.333 0.667
Pd 0.000 0.667 0.333
Au 0.000 0.761 0.761
Au 0.000 0.239 0.000
Au 0.000 0.000 0.239
```

Its size of the total moment is 0.0 μB/f.u. Its electronic total energy is -5.1276 eV per atom. Its crystal system is hexagonal.

---

(2)
VASP calculation (PBE-GGA) on a relaxed structure of SmPd3Au3. Values from VASP.

```
&SYSTEM
  ibrav = 0, nat = 14, ntyp = 3
/
ATOMIC_SPECIES
Sm 150.36 Sm.upf
Pd 106.42 Pd.upf
Au 196.97 Au.upf
CELL_PARAMETERS angstrom
6.569 0.539 3.674
2.400 6.139 3.674
0.724 0.539 7.492
ATOMIC_POSITIONS crystal
Sm 0.346 0.346 0.346
Sm 0.654 0.654 0.654
Pd 0.716 0.180 0.926
Pd 0.180 0.926 0.716
Pd 0.926 0.716 0.180
Pd 0.074 0.284 0.820
Pd 0.820 0.074 0.284
Pd 0.284 0.820 0.074
Au 0.737 0.578 0.068
Au 0.068 0.737 0.578
Au 0.578 0.068 0.737
Au 0.422 0.932 0.263
Au 0.932 0.263 0.422
Au 0.263 0.422 0.932
```

Its size of the total moment is 0.0 μB/f.u. Its crystal system is trigonal. The distance to the lowest polymorph of the same formula is 64 meV/atom.

---

(3)
VASP calculation (PBE-GGA) on a relaxed structure of SmPd4Au2. Values from VASP.

```
&SYSTEM
  ibrav = 0, nat = 14, ntyp = 3
/
ATOMIC_SPECIES
Sm 150.36 Sm.upf
Pd 106.42 Pd.upf
Au 196.97 Au.upf
CELL_PARAMETERS angstrom
7.374 -0.045 -2.404
-3.874 4.558 -1.759
-0.335 0.402 7.581
ATOMIC_POSITIONS crystal
Sm 0.159 0.838 0.552
Sm 0.977 0.010 0.937
Pd 0.616 0.988 0.606
Pd 0.574 0.412 0.753
Pd 0.296 0.992 0.268
Pd 0.760 0.200 0.348
Pd 0.022 0.567 0.799
Pd 0.803 0.792 0.205
Pd 0.359 0.601 0.158
Pd 0.437 0.207 0.014
Au 0.667 0.576 0.464
Au 0.211 0.373 0.436
Au 0.889 0.410 0.076
Au 0.479 0.784 0.885
```

Its size of the total moment is 0.0 μB/f.u. Its crystal system is triclinic. The distance to the lowest polymorph of the same formula is 46 meV/atom.

---

(4)
VASP calculation (PBE-GGA) on a relaxed structure of SmPd8Au3. Values from VASP.

```
&SYSTEM
  ibrav = 0, nat = 12, ntyp = 3
/
ATOMIC_SPECIES
Sm 150.36 Sm.upf
Pd 106.42 Pd.upf
Au 196.97 Au.upf
CELL_PARAMETERS angstrom
-1.494 -0.813 5.018
2.732 -3.729 -2.587
7.432 3.515 2.782
ATOMIC_POSITIONS crystal
Sm 0.000 0.000 0.565
Pd 0.333 0.667 0.498
Pd 0.333 0.667 0.997
Pd 0.503 0.006 0.751
Pd 0.503 0.497 0.751
Pd 0.994 0.497 0.751
Pd 0.164 0.328 0.247
Pd 0.164 0.836 0.247
Pd 0.672 0.836 0.247
Au 0.667 0.333 0.430
Au 0.667 0.333 0.061
Au 0.000 0.000 0.952
```

Its size of the total moment is 0.0 μB/f.u. Its electronic total energy is -4.8885 eV per atom. Its crystal system is trigonal.

---

(5)
VASP calculation (PBE-GGA) on a relaxed structure of SmPd8Au2. Values from VASP.

```
&SYSTEM
  ibrav = 0, nat = 11, ntyp = 3
/
ATOMIC_SPECIES
Sm 150.36 Sm.upf
Pd 106.42 Pd.upf
Au 196.97 Au.upf
CELL_PARAMETERS angstrom
1.471 -4.573 -1.111
6.302 -3.659 1.502
0.331 -4.204 6.795
ATOMIC_POSITIONS crystal
Sm 0.500 0.000 0.000
Pd 0.761 0.101 0.277
Pd 0.761 0.378 0.723
Pd 0.250 0.500 0.000
Pd 0.500 0.805 0.391
Pd 0.500 0.195 0.609
Pd 0.750 0.500 0.000
Pd 0.239 0.622 0.277
Pd 0.239 0.899 0.723
Au 0.000 0.319 0.362
Au 0.000 0.681 0.638
```

Its size of the total moment is 0.0 μB/f.u. Its crystal system is orthorhombic. The distance to the lowest polymorph of the same formula is 83 meV/atom.

---

(6)
VASP calculation (PBE-GGA) on a relaxed structure of SmPdAu. Values from VASP.

```
&SYSTEM
  ibrav = 0, nat = 12, ntyp = 3
/
ATOMIC_SPECIES
Au 196.97 Au.upf
Sm 150.36 Sm.upf
Pd 106.42 Pd.upf
CELL_PARAMETERS angstrom
7.839 0.242 0.000
-2.475 5.486 0.000
0.000 0.000 6.014
ATOMIC_POSITIONS crystal
Au 0.765 0.632 0.000
Au 0.235 0.868 0.500
Au 0.235 0.368 0.000
Au 0.765 0.132 0.500
Sm 0.191 0.846 0.000
Sm 0.809 0.654 0.500
Sm 0.809 0.154 0.000
Sm 0.191 0.346 0.500
Pd 0.500 0.250 0.250
Pd 0.500 0.250 0.750
Pd 0.500 0.750 0.750
Pd 0.500 0.750 0.250
```

Its size of the total moment is 0.0 μB/f.u. Its crystal system is tetragonal. The distance to the lowest polymorph of the same formula is 0 meV/atom.

---

(7)
VASP calculation (PBE-GGA) on a relaxed structure of Sm2PdAu2. Values from VASP.

```
&SYSTEM
  ibrav = 0, nat = 10, ntyp = 3
/
ATOMIC_SPECIES
Sm 150.36 Sm.upf
Pd 106.42 Pd.upf
Au 196.97 Au.upf
CELL_PARAMETERS angstrom
4.002 0.000 0.000
2.001 5.320 0.143
2.001 1.026 11.005
ATOMIC_POSITIONS crystal
Sm 0.319 0.249 0.113
Sm 0.504 0.332 0.661
Sm 0.681 0.751 0.887
Sm 0.496 0.668 0.339
Pd 0.801 0.093 0.305
Pd 0.199 0.907 0.695
Au 0.956 0.197 0.890
Au 0.149 0.247 0.455
Au 0.044 0.803 0.110
Au 0.851 0.753 0.545
```

Its size of the total moment is 0.0 μB/f.u. Its electronic total energy is -5.0672 eV per atom. Its crystal system is monoclinic.

---

(8)
VASP calculation (PBE-GGA) on a relaxed structure of SmSn2Pd7Au2. Values from VASP.

```
&SYSTEM
  ibrav = 0, nat = 12, ntyp = 4
/
ATOMIC_SPECIES
Sm 150.36 Sm.upf
Sn 118.71 Sn.upf
Pd 106.42 Pd.upf
Au 196.97 Au.upf
CELL_PARAMETERS angstrom
-2.961 2.643 -1.209
-2.972 -2.638 1.192
-5.980 5.289 11.607
ATOMIC_POSITIONS crystal
Sm 0.000 0.000 0.000
Sn 0.679 0.679 0.322
Sn 0.321 0.321 0.678
Pd 0.500 0.500 0.000
Pd 0.253 0.253 0.500
Pd 0.747 0.747 0.500
Pd 0.833 0.334 0.165
Pd 0.334 0.833 0.165
Pd 0.666 0.167 0.835
Pd 0.167 0.666 0.835
Au 0.819 0.819 0.681
Au 0.181 0.181 0.319
```

Its size of the total moment is 0.0 μB/f.u. Its electronic total energy is -5.0737 eV per atom. Its crystal system is monoclinic.

---

(9)
VASP calculation (PBE-GGA) on a relaxed structure of TbSmPdAu. Values from VASP.

```
&SYSTEM
  ibrav = 0, nat = 4, ntyp = 4
/
ATOMIC_SPECIES
Tb 158.93 Tb.upf
Au 196.97 Au.upf
Pd 106.42 Pd.upf
Sm 150.36 Sm.upf
CELL_PARAMETERS angstrom
-3.103 -1.521 3.741
-0.333 -4.943 1.181
1.946 -1.707 4.386
ATOMIC_POSITIONS crystal
Tb 0.250 0.250 0.250
Au 0.500 0.500 0.500
Pd 0.000 0.000 0.000
Sm 0.750 0.750 0.750
```

Its size of the total moment is 0.0 μB/f.u. Its crystal system is cubic. The distance to the lowest polymorph of the same formula is 51 meV/atom.

---

(10)
VASP calculation (PBE-GGA) on a relaxed structure of TbSmPdAu. Values from VASP.

```
&SYSTEM
  ibrav = 0, nat = 4, ntyp = 4
/
ATOMIC_SPECIES
Tb 158.93 Tb.upf
Sm 150.36 Sm.upf
Pd 106.42 Pd.upf
Au 196.97 Au.upf
CELL_PARAMETERS angstrom
-1.306 0.164 -3.580
-0.830 -4.638 0.090
-4.312 0.842 3.644
ATOMIC_POSITIONS crystal
Tb 0.863 0.500 0.727
Sm 0.139 0.000 0.279
Pd 0.413 0.000 0.826
Au 0.584 0.500 0.168
```

Its size of the total moment is 0.0 μB/f.u. Its crystal system is orthorhombic. The distance to the lowest polymorph of the same formula is 0 meV/atom.

---

(11)
VASP calculation (PBE-GGA) on a relaxed structure of SmTlPdAu. Values from VASP.

```
&SYSTEM
  ibrav = 0, nat = 4, ntyp = 4
/
ATOMIC_SPECIES
Tl 204.38 Tl.upf
Au 196.97 Au.upf
Pd 106.42 Pd.upf
Sm 150.36 Sm.upf
CELL_PARAMETERS angstrom
-3.080 -2.918 2.617
1.685 -2.450 4.001
-1.460 1.376 4.563
ATOMIC_POSITIONS crystal
Tl 0.500 0.500 0.500
Au 0.250 0.250 0.250
Pd 0.750 0.750 0.750
Sm 0.000 0.000 0.000
```

Its size of the total moment is 0.0 μB/f.u. Its electronic total energy is -4.4522 eV per atom. Its crystal system is cubic.

---

(12)
VASP calculation (PBE-GGA) on a relaxed structure of SmTmPdAu. Values from VASP.

```
&SYSTEM
  ibrav = 0, nat = 4, ntyp = 4
/
ATOMIC_SPECIES
Tm 168.93 Tm.upf
Au 196.97 Au.upf
Pd 106.42 Pd.upf
Sm 150.36 Sm.upf
CELL_PARAMETERS angstrom
5.051 0.000 0.000
2.526 4.374 0.000
2.526 1.458 4.124
ATOMIC_POSITIONS crystal
Tm 0.750 0.750 0.750
Au 0.000 0.000 0.000
Pd 0.500 0.500 0.500
Sm 0.250 0.250 0.250
```

Its size of the total moment is 0.0 μB/f.u. Its crystal system is cubic. The distance to the lowest polymorph of the same formula is 43 meV/atom.

---

What did the twelfth record say?
VASP calculation (PBE-GGA) on a relaxed structure of SmTmPdAu. Values from VASP.

```
&SYSTEM
  ibrav = 0, nat = 4, ntyp = 4
/
ATOMIC_SPECIES
Tm 168.93 Tm.upf
Au 196.97 Au.upf
Pd 106.42 Pd.upf
Sm 150.36 Sm.upf
CELL_PARAMETERS angstrom
5.051 0.000 0.000
2.526 4.374 0.000
2.526 1.458 4.124
ATOMIC_POSITIONS crystal
Tm 0.750 0.750 0.750
Au 0.000 0.000 0.000
Pd 0.500 0.500 0.500
Sm 0.250 0.250 0.250
```

Its size of the total moment is 0.0 μB/f.u. Its crystal system is cubic. The distance to the lowest polymorph of the same formula is 43 meV/atom.